Record 1
# Cr3NiHg (GGA-PBE, relaxed)
data_Cr3NiHg
_chemical_formula_sum 'Cr3 Ni1 Hg1'
_cell_length_a 4.582
_cell_length_b 4.582
_cell_length_c 4.582
_cell_angle_alpha 90.00
_cell_angle_beta 90.00
_cell_angle_gamma 90.00
_symmetry_space_group_name_H-M 'P m -3 m'
_symmetry_Int_Tables_number 221
_symmetry_space_group_name_Hall '-P 4 2 3'
loop_
_atom_site_label
_atom_site_type_symbol
_atom_site_fract_x
_atom_site_fract_y
_atom_site_fract_z
Cr1 Cr 0.000 0.000 0.500
Ni1 Ni 0.000 0.000 0.000
Hg1 Hg 0.500 0.500 0.500
# DFT total energy ... -5.94 eV/atom
# Magnetization ... 11.813 μB/cell
# ρ ... 7.17 g cm⁻³
# DFT formation energy ... 509 kJ/mol of formula units

Record 2
# Sr2Ca2Pd (GGA-PBE, relaxed)
data_Sr2Ca2Pd
_chemical_formula_sum 'Sr4 Ca4 Pd2'
_cell_length_a 7.701
_cell_length_b 7.701
_cell_length_c 6.446
_cell_angle_alpha 90.00
_cell_angle_beta 90.00
_cell_angle_gamma 90.00
_symmetry_space_group_name_H-M 'P 4/m b m'
_symmetry_Int_Tables_number 127
_symmetry_space_group_name_Hall '-P 4 2ab'
loop_
_atom_site_label
_atom_site_type_symbol
_atom_site_fract_x
_atom_site_fract_y
_atom_site_fract_z
Sr1 Sr 0.179 0.321 0.000
Ca1 Ca 0.166 0.666 0.500
Pd1 Pd 0.000 0.000 0.500
# DFT total energy ... -2.62 eV/atom
# Magnetization ... 0.000 μB/cell
# ρ ... 3.14 g cm⁻³
# E above lowest polymorph ... 0.0000 eV/atom
# DFT formation energy ... -51 kJ/mol of formula units

Record 3
# HgRu2Pt (GGA-PBE, relaxed)
data_HgRu2Pt
_chemical_formula_sum 'Hg2 Ru4 Pt2'
_cell_length_a 3.999
_cell_length_b 3.999
_cell_length_c 7.942
_cell_angle_alpha 90.00
_cell_angle_beta 90.00
_cell_angle_gamma 90.00
_symmetry_space_group_name_H-M 'I 4/m m m'
_symmetry_Int_Tables_number 139
_symmetry_space_group_name_Hall '-I 4 2'
loop_
_atom_site_label
_atom_site_type_symbol
_atom_site_fract_x
_atom_site_fract_y
_atom_site_fract_z
Hg1 Hg 0.000 0.000 0.000
Ru1 Ru 0.000 0.500 0.250
Pt1 Pt 0.000 0.000 0.500
# DFT total energy ... -5.79 eV/atom
# Magnetization ... 0.001 μB/cell
# ρ ... 15.63 g cm⁻³
# DFT formation energy ... 168 kJ/mol of formula units

Record 4
# BaMg2Tl (GGA-PBE, relaxed)
data_BaMg2Tl
_chemical_formula_sum 'Ba1 Mg2 Tl1'
_cell_length_a 3.880
_cell_length_b 3.880
_cell_length_c 8.278
_cell_angle_alpha 90.00
_cell_angle_beta 90.00
_cell_angle_gamma 90.00
_symmetry_space_group_name_H-M 'P 4 m m'
_symmetry_Int_Tables_number 99
loop_
_symmetry_equiv_pos_as_xyz
'x,y,z'
'-y,x,z'
'-x,-y,z'
'y,-x,z'
'-x,y,z'
'y,x,z'
'x,-y,z'
'-y,-x,z'
loop_
_atom_site_label
_atom_site_type_symbol
_atom_site_fract_x
_atom_site_fract_y
_atom_site_fract_z
Ba1 Ba 0.000 0.000 0.000
Mg1 Mg 0.000 0.000 0.510
Mg2 Mg 0.500 0.500 0.318
Tl1 Tl 0.500 0.500 0.706
# DFT total energy ... -2.00 eV/atom
# Magnetization ... 0.000 μB/cell
# ρ ... 5.20 g cm⁻³
# E above lowest polymorph ... 0.0567 eV/atom
# DFT formation energy ... -50 kJ/mol of formula units

Record 5
# MoOs2 (GGA-PBE, relaxed)
data_MoOs2
_chemical_formula_sum 'Mo4 Os8'
_cell_length_a 3.885
_cell_length_b 11.813
_cell_length_c 3.883
_cell_angle_alpha 90.00
_cell_angle_beta 90.00
_cell_angle_gamma 90.00
_symmetry_space_group_name_H-M 'C m c m'
_symmetry_Int_Tables_number 63
_symmetry_space_group_name_Hall '-C 2c 2'
loop_
_atom_site_label
_atom_site_type_symbol
_atom_site_fract_x
_atom_site_fract_y
_atom_site_fract_z
Mo1 Mo 0.000 0.088 0.250
Os1 Os 0.000 0.249 0.750
Os2 Os 0.000 0.415 0.250
# DFT total energy ... -11.03 eV/atom
# Magnetization ... 0.000 μB/cell
# ρ ... 17.76 g cm⁻³
# E above lowest polymorph ... 0.0818 eV/atom
# DFT formation energy ... 18 kJ/mol of formula units

Record 6
# AlV3Ni7 (GGA-PBE, relaxed)
data_AlV3Ni7
_chemical_formula_sum 'Al2 V6 Ni14'
_cell_length_a 7.982
_cell_length_b 8.610
_cell_length_c 4.510
_cell_angle_alpha 90.00
_cell_angle_beta 115.42
_cell_angle_gamma 90.00
_symmetry_space_group_name_H-M 'C 1 2/m 1'
_symmetry_Int_Tables_number 12
loop_
_symmetry_equiv_pos_as_xyz
'x,y,z'
'-x,-y,-z'
'-x,y,-z'
'x,-y,z'
'x+1/2,y+1/2,z'
'-x+1/2,-y+1/2,-z'
'-x+1/2,y+1/2,-z'
'x+1/2,-y+1/2,z'
loop_
_atom_site_label
_atom_site_type_symbol
_atom_site_fract_x
_atom_site_fract_y
_atom_site_fract_z
Al1 Al 0.000 0.000 0.000
V1 V 0.000 0.266 0.500
V2 V 0.000 0.500 0.000
Ni1 Ni 0.000 0.000 0.500
Ni2 Ni 0.176 0.268 0.183
Ni3 Ni 0.182 0.500 0.576
# DFT total energy ... -6.43 eV/atom
# Magnetization ... 0.000 μB/cell
# ρ ... 7.01 g cm⁻³
# DFT formation energy ... 80 kJ/mol of formula units

Q: Look up the DFT total energy of the sixth one.
A: -6.43 eV/atom

Q: What is the magnetization in the second record?
A: 0.000 μB/cell

Q: Which formula does entry 5 have?
A: MoOs2